A plane-wave DFT calculation with PBE was carried out for a geometry-optimized TbPr6Nd2Er structure.

Values from the calculation:
V: 35.32 A^3/atom
Energy relative to the elements: 112.4 meV/atom
Total moment: 0.0 μB per formula unit
Space group: No. 15

```
TbPr6Nd2Er
1.0
9.426 -2.118 -2.198
0.756 8.764 -2.068
0.756 -2.392 8.682
Tb Pr Nd Er
2 12 4 2
direct
0.250 0.980 0.020 Tb
0.750 0.020 0.980 Tb
0.054 0.120 0.754 Pr
0.446 0.246 0.880 Pr
0.946 0.880 0.246 Pr
0.554 0.754 0.120 Pr
0.309 0.988 0.428 Pr
0.191 0.572 0.012 Pr
0.691 0.012 0.572 Pr
0.809 0.428 0.988 Pr
0.119 0.706 0.498 Pr
0.381 0.502 0.294 Pr
0.881 0.294 0.502 Pr
0.619 0.498 0.706 Pr
0.457 0.804 0.705 Nd
0.043 0.295 0.196 Nd
0.543 0.196 0.295 Nd
0.957 0.705 0.804 Nd
0.250 0.409 0.591 Er
0.750 0.591 0.409 Er
```


A plane-wave DFT calculation with PBE was carried out for a geometry-optimized ZrTi2S structure.

Values from the calculation:
V: 16.49 A^3/atom
Total moment: 0.0 μB per formula unit
Space group: No. 62
ΔE_f (raw): -849 meV per atom

```
ZrTi2S
1.0
-4.039 2.880 -1.648
-2.203 0.445 6.176
4.140 6.388 1.017
Zr Ti S
4 8 4
direct
0.612 0.520 0.250 Zr
0.888 0.020 0.250 Zr
0.388 0.480 0.750 Zr
0.112 0.980 0.750 Zr
0.127 0.684 0.047 Ti
0.373 0.184 0.453 Ti
0.873 0.316 0.547 Ti
0.627 0.816 0.953 Ti
0.873 0.316 0.953 Ti
0.627 0.816 0.547 Ti
0.127 0.684 0.453 Ti
0.373 0.184 0.047 Ti
0.099 0.389 0.250 S
0.401 0.889 0.250 S
0.901 0.611 0.750 S
0.599 0.111 0.750 S
```


A plane-wave DFT calculation with PBE was carried out for a geometry-optimized Be3Zn4 structure.

Values from the calculation:
V: 11.94 A^3/atom
Energy relative to the elements: 141.6 meV/atom
Total moment: 0.0 μB per formula unit
Space group: No. 191
Energy relative to the lowest polymorph listed for this composition: 0.0 meV/atom

```
Be3Zn4
1.0
2.245 -3.888 0.000
2.245 3.888 0.000
0.000 0.000 4.790
Be Zn
3 4
direct
0.000 0.500 0.000 Be
0.500 0.500 0.000 Be
0.500 0.000 0.000 Be
0.000 0.000 0.247 Zn
0.000 0.000 0.753 Zn
0.667 0.333 0.500 Zn
0.333 0.667 0.500 Zn
```


A plane-wave DFT calculation with PBE was carried out for a geometry-optimized CoNi2HRu structure.

Values from the calculation:
V: 10.01 A^3/atom
Total moment: 4.1 μB per formula unit
Space group: No. 123
Energy relative to the lowest polymorph listed for this composition: 0.0 meV/atom

```
CoNi2HRu
1.0
3.612 0.000 0.000
0.000 3.612 0.000
0.000 0.000 3.838
Ru Co H Ni
1 1 1 2
direct
0.000 0.000 0.500 Ru
0.500 0.500 0.500 Co
0.000 0.000 0.000 H
0.000 0.500 0.000 Ni
0.500 0.000 0.000 Ni
```


A plane-wave DFT calculation with PBE was carried out for a geometry-optimized Sr3InBi2Pd9 structure.

Values from the calculation:
V: 26.96 A^3/atom
Energy relative to the elements: -336.6 meV/atom
Total moment: 0.0 μB per formula unit
Space group: No. 164

```
Sr3InBi2Pd9
1.0
-0.106 -0.007 6.899
5.206 -3.021 -3.374
4.964 8.460 0.084
Sr In Bi Pd
3 1 2 9
direct
0.333 0.667 0.733 Sr
0.000 0.000 0.000 Sr
0.667 0.333 0.267 Sr
0.000 0.000 0.500 In
0.333 0.667 0.187 Bi
0.667 0.333 0.813 Bi
0.870 0.130 0.724 Pd
0.870 0.741 0.724 Pd
0.259 0.130 0.724 Pd
0.741 0.870 0.276 Pd
0.130 0.259 0.276 Pd
0.130 0.870 0.276 Pd
0.500 0.000 0.000 Pd
0.000 0.500 0.000 Pd
0.500 0.500 0.000 Pd
```


A plane-wave DFT calculation with PBE was carried out for a geometry-optimized Rb2PtRh structure.

Values from the calculation:
V: 47.70 A^3/atom
Energy relative to the elements: 466.8 meV/atom
Total moment: 0.0 μB per formula unit
Space group: No. 122
Energy relative to the lowest polymorph listed for this composition: 0.0 meV/atom

```
Rb2PtRh
1.0
12.556 0.000 0.000
0.000 12.556 0.000
6.278 6.278 2.421
Rh Rb Pt
2 4 2
direct
0.500 0.500 0.000 Rh
0.250 0.750 0.500 Rh
0.399 0.125 0.250 Rb
0.351 0.625 0.250 Rb
0.375 0.601 0.750 Rb
0.875 0.649 0.750 Rb
0.000 0.000 0.000 Pt
0.750 0.250 0.500 Pt
```